This record from Alexandria via LeMat-Bulk describes TaIr2Pb after structural relaxation. The functional is PBEsol.

Uncorrected energy = -8.982 eV/atom
DFT formation energy = 0.0668 eV/atom

abc: 4.1152 4.1152 7.8747
angles: 90.00 90.00 90.00
With the nearest neighbours (Å) after each atom.
Space group I4/mmm (No. 139)
Inequivalent atoms, fractional coordinates:
1 Ta 0.0000 0.0000 0.0000 (multiplicity 2)  8 Ir 2.85, 4 Pb 2.91
2 Ir 0.0000 0.5000 0.2500 (multiplicity 4)  4 Ta 2.85, 4 Pb 2.85, 4 Ir 2.91
3 Pb 0.0000 0.0000 0.5000 (multiplicity 2)  8 Ir 2.85, 4 Ta 2.91



This record from Alexandria via LeMat-Bulk describes TaIr2Pb after structural relaxation. The functional is PBEsol.

Uncorrected energy = -8.843 eV/atom
DFT formation energy = 0.2061 eV/atom

abc: 4.1518 4.1518 3.9149
angles: 90.00 90.00 90.00
With the nearest neighbours (Å) after each atom.
Space group P4/mmm (No. 123)
Inequivalent atoms, fractional coordinates:
1 Ta 0.0000 0.0000 0.0000 (multiplicity 1)  8 Ir 2.85, 4 Pb 2.94
2 Ir 0.0000 0.5000 0.5000 (multiplicity 2)  4 Ta 2.85, 4 Pb 2.85, 4 Ir 2.94
3 Pb 0.5000 0.5000 0.0000 (multiplicity 1)  8 Ir 2.85, 4 Ta 2.94



This record from Alexandria via LeMat-Bulk describes TaIrPb2 after structural relaxation. The functional is PBEsol.

Uncorrected energy = -6.983 eV/atom
DFT formation energy = 0.6095 eV/atom

abc: 9.8376 3.0950 5.4815
angles: 90.00 107.39 90.00
With the nearest neighbours (Å) after each atom.
Space group C2/m (No. 12)
Inequivalent atoms, fractional coordinates:
1 Ta 0.0000 0.0000 0.0000 (multiplicity 2)  6 Pb 2.97-3.07, 2 Ta 3.09, 4 Ir 3.15
2 Ir 0.0000 0.5000 0.5000 (multiplicity 2)  4 Pb 2.79, 2 Ir 3.09
3 Pb 0.2381 0.0000 0.7446 (multiplicity 4)  2 Ir 2.79, 3 Ta 2.97-3.07, 2 Pb 3.09



This record from Alexandria via LeMat-Bulk describes TaIrPb2 after structural relaxation. The functional is PBEsol.

Uncorrected energy = -7.581 eV/atom
DFT formation energy = 0.0119 eV/atom

abc: 3.1866 3.1866 8.6077
angles: 90.00 90.00 90.00
With the nearest neighbours (Å) after each atom.
Space group P4mm (No. 99)
Inequivalent atoms, fractional coordinates:
1 Ta 0.0000 0.0000 0.0000 (multiplicity 1)  4 Ir 2.64
2 Ir 0.5000 0.5000 0.8410 (multiplicity 1)  4 Ta 2.64
3 Pb 0.0000 0.0000 0.5977 (multiplicity 1)  4 Ir 3.08, 4 Pb 3.19
4 Pb 0.5000 0.5000 0.2577 (multiplicity 1)  4 Ta 3.16, 4 Pb 3.19



This record from Alexandria via LeMat-Bulk describes Tc2IrPb after structural relaxation. The functional is PBEsol.

Uncorrected energy = -8.564 eV/atom
DFT formation energy = 0.5245 eV/atom

abc: 2.8781 2.8781 7.7306
angles: 90.00 90.00 90.00
With the nearest neighbours (Å) after each atom.
Space group P4/mmm (No. 123)
Inequivalent atoms, fractional coordinates:
1 Tc 0.0000 0.0000 0.2280 (multiplicity 2)  4 Ir 2.69, 4 Tc 2.88, 4 Pb 2.93
2 Ir 0.5000 0.5000 0.0000 (multiplicity 1)  8 Tc 2.69, 4 Ir 2.88
3 Pb 0.5000 0.5000 0.5000 (multiplicity 1)  4 Pb 2.88, 8 Tc 2.93



This record from Alexandria via LeMat-Bulk describes TcIr2Pb after structural relaxation. The functional is PBEsol.

Uncorrected energy = -8.280 eV/atom
DFT formation energy = 0.4483 eV/atom

abc: 4.0386 4.0386 7.7575
angles: 90.00 90.00 90.00
With the nearest neighbours (Å) after each atom.
Space group I-4m2 (No. 119)
Inequivalent atoms, fractional coordinates:
1 Tc 0.0000 0.0000 0.0000 (multiplicity 2)  4 Pb 2.80, 8 Ir 2.80-2.86
2 Ir 0.0000 0.0000 0.5000 (multiplicity 2)  4 Pb 2.80, 4 Ir 2.80, 4 Tc 2.86
3 Ir 0.0000 0.5000 0.2500 (multiplicity 2)  4 Tc 2.80, 4 Ir 2.80, 4 Pb 2.86
4 Pb 0.0000 0.5000 0.7500 (multiplicity 2)  4 Tc 2.80, 8 Ir 2.80-2.86



This record from Alexandria via LeMat-Bulk describes TcIr2Pb after structural relaxation. The functional is PBEsol.

Uncorrected energy = -8.293 eV/atom
DFT formation energy = 0.4351 eV/atom

abc: 4.0047 4.0047 7.8929
angles: 90.00 90.00 90.00
With the nearest neighbours (Å) after each atom.
Space group I4/mmm (No. 139)
Inequivalent atoms, fractional coordinates:
1 Tc 0.0000 0.0000 0.0000 (multiplicity 2)  8 Ir 2.81, 4 Pb 2.83
2 Ir 0.0000 0.5000 0.2500 (multiplicity 4)  4 Pb 2.81, 4 Tc 2.81, 4 Ir 2.83
3 Pb 0.0000 0.0000 0.5000 (multiplicity 2)  8 Ir 2.81, 4 Tc 2.83



This record from Alexandria via LeMat-Bulk describes Tc2IrPb after structural relaxation. The functional is PBEsol.

Uncorrected energy = -8.447 eV/atom
DFT formation energy = 0.6416 eV/atom

abc: 5.3086 8.3614 2.8861
angles: 90.00 90.00 90.00
With the nearest neighbours (Å) after each atom.
Space group Cmmm (No. 65)
Inequivalent atoms, fractional coordinates:
1 Tc 0.2500 0.2500 0.0000 (multiplicity 4)  4 Tc 2.65-2.89, 4 Pb 2.87, 4 Ir 2.87
2 Ir 0.0000 0.0000 0.5000 (multiplicity 2)  2 Pb 2.65, 8 Tc 2.87, 2 Ir 2.89
3 Pb 0.0000 0.5000 0.5000 (multiplicity 2)  2 Ir 2.65, 8 Tc 2.87, 2 Pb 2.89



This record from Alexandria via LeMat-Bulk describes Tc2IrPb after structural relaxation. The functional is PBEsol.

Uncorrected energy = -8.430 eV/atom
DFT formation energy = 0.6587 eV/atom

abc: 6.3641 6.3641 6.3641
angles: 90.00 90.00 90.00
With the nearest neighbours (Å) after each atom.
Space group F-43m (No. 216)
Inequivalent atoms, fractional coordinates:
1 Tc 0.0000 0.0000 0.0000 (multiplicity 4)  4 Pb 2.76, 4 Tc 2.76
2 Tc 0.2500 0.2500 0.2500 (multiplicity 4)  4 Tc 2.76, 4 Ir 2.76
3 Ir 0.0000 0.0000 0.5000 (multiplicity 4)  4 Pb 2.76, 4 Tc 2.76
4 Pb 0.2500 0.2500 0.7500 (multiplicity 4)  4 Tc 2.76, 4 Ir 2.76



This record from Alexandria via LeMat-Bulk describes TcIrPb2 after structural relaxation. The functional is PBEsol.

Uncorrected energy = -6.655 eV/atom
DFT formation energy = 0.6171 eV/atom

abc: 6.6344 6.6344 6.6344
angles: 90.00 90.00 90.00
With the nearest neighbours (Å) after each atom.
Space group Fm-3m (No. 225)
Inequivalent atoms, fractional coordinates:
1 Tc 0.0000 0.0000 0.0000 (multiplicity 4)  8 Pb 2.87
2 Ir 0.0000 0.0000 0.5000 (multiplicity 4)  8 Pb 2.87
3 Pb 0.2500 0.2500 0.2500 (multiplicity 8)  4 Tc 2.87, 4 Ir 2.87



This record from Alexandria via LeMat-Bulk describes Tc3IrPb after structural relaxation. The functional is PBEsol.

Uncorrected energy = -6.348 eV/atom
DFT formation energy = 3.1761 eV/atom

abc: 4.7543 4.7543 4.7543
angles: 90.00 90.00 90.00
With the nearest neighbours (Å) after each atom.
Space group Pm-3m (No. 221)
Inequivalent atoms, fractional coordinates:
1 Tc 0.0000 0.0000 0.5000 (multiplicity 3)  2 Pb 2.38
2 Ir 0.5000 0.5000 0.5000 (multiplicity 1)  12 Tc 3.36
3 Pb 0.0000 0.0000 0.0000 (multiplicity 1)  6 Tc 2.38



This record from Alexandria via LeMat-Bulk describes TeIrPb after structural relaxation. The functional is PBEsol.

Formation energy without anion corrections = 1.002 eV per atom
Uncorrected energy = -4.781 eV/atom

abc: 6.7097 6.7097 6.7097
angles: 90.00 90.00 90.00
With the nearest neighbours (Å) after each atom.
Space group F-43m (No. 216)
Inequivalent atoms, fractional coordinates:
1 Te 0.0000 0.0000 0.0000 (multiplicity 4)  4 Pb 2.91
2 Ir 0.0000 0.0000 0.5000 (multiplicity 4)  4 Pb 2.91
3 Pb 0.2500 0.2500 0.7500 (multiplicity 4)  4 Te 2.91, 4 Ir 2.91



This record from Alexandria via LeMat-Bulk describes TeIr2Pb after structural relaxation. The functional is PBEsol.

Formation energy without anion corrections = 0.279 eV per atom
Uncorrected energy = -6.514 eV/atom

abc: 4.0872 4.0872 18.9181
angles: 90.00 90.00 120.00
With the nearest neighbours (Å) after each atom.
Space group R3m (No. 160, hexagonal axes)
Inequivalent atoms, fractional coordinates:
1 Te 0.0000 0.0000 0.0000 (multiplicity 3)  3 Ir 2.74
2 Ir 0.0000 0.0000 0.2601 (multiplicity 3)  3 Ir 2.48, 3 Te 2.74
3 Ir 0.0000 0.0000 0.5537 (multiplicity 3)  3 Ir 2.48
4 Pb 0.0000 0.0000 0.8009 (multiplicity 3)  3 Ir 2.87



This record from Alexandria via LeMat-Bulk describes TeIr4Pb after structural relaxation. The functional is PBEsol.

Formation energy without anion corrections = 0.601 eV per atom
Uncorrected energy = -7.202 eV/atom

abc: 7.5370 7.5370 7.5370
angles: 90.00 90.00 90.00
With the nearest neighbours (Å) after each atom.
Space group F-43m (No. 216)
Inequivalent atoms, fractional coordinates:
1 Te 0.0000 0.0000 0.0000 (multiplicity 4)  12 Ir 3.12, 4 Pb 3.26
2 Ir 0.1252 0.1252 0.3748 (multiplicity 16)  6 Ir 2.66-2.67
3 Pb 0.2500 0.2500 0.7500 (multiplicity 4)  12 Ir 3.13, 4 Te 3.26



This record from Alexandria via LeMat-Bulk describes TeIr2Pb after structural relaxation. The functional is PBEsol.

Formation energy without anion corrections = 0.769 eV per atom
Uncorrected energy = -6.024 eV/atom

abc: 3.0849 5.3238 9.3418
angles: 90.00 90.00 90.00
With the nearest neighbours (Å) after each atom.
Space group Immm (No. 71)
Inequivalent atoms, fractional coordinates:
1 Te 0.0000 0.0000 0.0000 (multiplicity 2)  4 Ir 2.72
2 Ir 0.0000 0.5000 0.2595 (multiplicity 4)  2 Te 2.72, 2 Pb 2.87
3 Pb 0.0000 0.0000 0.5000 (multiplicity 2)  4 Ir 2.87, 4 Te 3.08, 2 Pb 3.08